(1)
5
Lattice="5.543 0.000 0.000 0.000 5.543 0.000 0.000 0.000 5.287" Properties=species:S:1:pos:R:3 comment="CaCd2SnMo | Alexandria via LeMat-Bulk | PBE-GGA | optimized geometry" energy_ev_per_atom=-2.318 formation_enthalpy_0k_kj_per_mol_atoms=136.6 spacegroup="P4/mmm, No. 123" magmom_total_mub_per_atom=0.59 pbc="T T T"
Ca 0.000 0.000 0.000
Cd 0.000 2.772 0.000
Cd 2.772 0.000 0.000
Sn 2.772 2.772 2.643
Mo 0.000 0.000 2.643



(2)
5
Lattice="5.230 0.000 0.000 0.000 5.230 0.000 0.000 0.000 5.024" Properties=species:S:1:pos:R:3 comment="CaTaCd2Mo | Alexandria via LeMat-Bulk | PBE-GGA | optimized geometry" energy_ev_per_atom=-3.082 formation_enthalpy_0k_kj_per_mol_atoms=214.3 spacegroup="P4/mmm, No. 123" magmom_total_mub_per_atom=0.61 pbc="T T T"
Ca 0.000 0.000 0.000
Ta 0.000 0.000 2.512
Cd 0.000 2.615 0.000
Cd 2.615 0.000 0.000
Mo 2.615 2.615 2.512



(3)
5
Lattice="5.481 0.000 0.000 0.000 5.481 0.000 0.000 0.000 5.812" Properties=species:S:1:pos:R:3 comment="CaTl2CdMo | Alexandria via LeMat-Bulk | PBE-GGA | optimized geometry" energy_ev_per_atom=-2.616 formation_enthalpy_0k_kj_per_mol_atoms=104.2 spacegroup="P4/mmm, No. 123" magmom_total_mub_per_atom=0.89 pbc="T T T"
Ca 0.000 0.000 0.000
Tl 0.000 2.740 2.906
Tl 2.740 0.000 2.906
Cd 0.000 0.000 2.906
Mo 2.740 2.740 0.000



(4)
10
Lattice="3.394 1.959 6.405 -3.394 1.959 6.405 0.000 -3.919 6.405" Properties=species:S:1:pos:R:3 comment="Ca3CdN | Alexandria via LeMat-Bulk | PBE-GGA | optimized geometry" e_above_lowest_polymorph_kj_per_mol_atoms=10.27 energy_ev_per_atom=-3.525 spacegroup="R-3m, No. 166" raw_formation_energy_ev_per_atom=-0.48 magmom_total_mub_per_atom=0.00 pbc="T T T"
Ca -1.697 -0.980 7.902
Ca 0.000 -1.960 11.312
Ca -1.697 0.980 11.312
Ca 1.697 -0.980 7.902
Ca 0.000 1.960 7.902
Ca 1.697 0.980 11.312
Cd 0.000 0.000 2.095
Cd 0.000 0.000 17.118
N 0.000 0.000 6.380
N 0.000 0.000 12.833



(5)
9
Lattice="0.000 5.070 5.070 5.070 0.000 5.070 5.070 5.070 0.000" Properties=species:S:1:pos:R:3 comment="Ca6Cd2N | Alexandria via LeMat-Bulk | PBE-GGA | optimized geometry" energy_ev_per_atom=-2.897 spacegroup="Fm-3m, No. 225" raw_formation_energy_ev_per_atom=-0.43 magmom_total_mub_per_atom=0.05 pbc="T T T"
Ca 5.070 5.070 2.417
Ca 5.070 2.417 5.070
Ca 7.724 5.070 5.070
Ca 2.417 5.070 5.070
Ca 5.070 7.724 5.070
Ca 5.070 5.070 7.724
Cd 2.535 2.535 2.535
Cd 7.605 7.605 7.605
N 0.000 0.000 0.000



(6)
5
Lattice="-1.801 1.801 6.778 1.801 -1.801 6.778 1.801 1.801 -6.778" Properties=species:S:1:pos:R:3 comment="Ca2CdN2 | Alexandria via LeMat-Bulk | PBE-GGA | optimized geometry" energy_ev_per_atom=-4.844 spacegroup="I4/mmm, No. 139" raw_formation_energy_ev_per_atom=-0.53 magmom_total_mub_per_atom=0.00 pbc="T T T"
Ca 0.000 0.000 2.300
Ca 0.000 0.000 11.257
Cd 0.000 0.000 6.778
N 0.000 0.000 4.696
N 0.000 0.000 8.860



(7)
4
Lattice="3.132 0.000 0.000 0.000 3.132 0.000 0.000 0.000 8.215" Properties=species:S:1:pos:R:3 comment="Ca2CdN | Alexandria via LeMat-Bulk | PBE-GGA | optimized geometry" e_above_lowest_polymorph_kj_per_mol_atoms=25.80 energy_ev_per_atom=-3.670 spacegroup="P4/mmm, No. 123" raw_formation_energy_ev_per_atom=-0.36 magmom_total_mub_per_atom=0.00 pbc="T T T"
Ca 0.000 0.000 1.302
Ca 0.000 0.000 6.913
Cd 1.566 1.566 4.107
N 1.566 1.566 0.000



(8)
14
Lattice="1.880 -6.206 0.000 1.880 6.206 0.000 0.000 0.000 13.184" Properties=species:S:1:pos:R:3 comment="Ca4CdN2 | Alexandria via LeMat-Bulk | PBE-GGA | optimized geometry" energy_ev_per_atom=-4.192 spacegroup="Cmcm, No. 63" raw_formation_energy_ev_per_atom=-0.54 magmom_total_mub_per_atom=0.00 pbc="T T T"
Ca 0.000 0.000 0.000
Ca 0.000 0.000 6.592
Ca 1.880 3.079 7.806
Ca 1.880 3.079 11.970
Ca 1.880 1.089 3.296
Ca 1.880 -1.089 9.888
Ca 1.880 -3.079 1.214
Ca 1.880 -3.079 5.378
Cd 1.880 4.718 3.296
Cd 1.880 -4.718 9.888
N 1.880 1.700 0.850
N 1.880 1.700 5.742
N 1.880 -1.700 7.442
N 1.880 -1.700 12.334



(9)
7
Lattice="2.690 -12.476 0.000 2.690 12.476 0.000 0.000 0.000 3.468" Properties=species:S:1:pos:R:3 comment="Ca4Cd2N | Alexandria via LeMat-Bulk | PBE-GGA | optimized geometry" e_above_lowest_polymorph_kj_per_mol_atoms=21.07 energy_ev_per_atom=-2.794 spacegroup="Cmmm, No. 65" raw_formation_energy_ev_per_atom=-0.20 magmom_total_mub_per_atom=0.00 pbc="T T T"
Ca 2.690 10.985 0.000
Ca 2.690 7.362 1.734
Ca 2.690 -7.362 1.734
Ca 2.690 -10.985 0.000
Cd 2.690 4.343 0.000
Cd 2.690 -4.343 0.000
N 0.000 0.000 1.734



(10)
13
Lattice="-6.311 6.311 1.808 6.311 -6.311 1.808 6.311 6.311 -1.808" Properties=species:S:1:pos:R:3 comment="Ca8CdN4 | Alexandria via LeMat-Bulk | PBE-GGA | optimized geometry" energy_ev_per_atom=-4.553 spacegroup="I4/m, No. 87" raw_formation_energy_ev_per_atom=-0.69 magmom_total_mub_per_atom=0.06 pbc="T T T"
Ca 4.227 0.534 0.000
Ca 4.371 3.821 0.000
Ca 5.777 -2.084 1.808
Ca 2.490 -1.939 1.808
Ca 3.821 8.250 0.000
Ca 0.534 8.395 0.000
Ca 1.939 2.490 1.808
Ca 2.084 5.777 1.808
Cd 0.000 0.000 0.000
N 8.434 1.948 0.000
N 1.948 4.188 0.000
N 4.362 2.123 1.808
N -2.123 4.362 1.808



(11)
8
Lattice="-3.611 3.611 4.038 3.611 -3.611 4.038 3.611 3.611 -4.038" Properties=species:S:1:pos:R:3 comment="Ca2CdN | Alexandria via LeMat-Bulk | PBE-GGA | optimized geometry" e_above_lowest_polymorph_kj_per_mol_atoms=23.92 energy_ev_per_atom=-3.689 spacegroup="I-42d, No. 122" raw_formation_energy_ev_per_atom=-0.38 magmom_total_mub_per_atom=0.00 pbc="T T T"
Ca 5.417 0.954 -1.010
Ca 0.954 1.806 1.010
Ca -1.806 2.658 3.029
Ca 2.658 1.806 5.048
Cd 3.611 0.000 2.019
Cd 0.000 0.000 4.038
N 0.000 0.000 0.000
N 0.000 3.611 2.019



(12)
8
Lattice="-4.147 4.147 2.405 4.147 -4.147 2.405 4.147 4.147 -2.405" Properties=species:S:1:pos:R:3 comment="CaCd2N | Alexandria via LeMat-Bulk | PBE-GGA | optimized geometry" energy_ev_per_atom=-2.994 spacegroup="I-42d, No. 122" raw_formation_energy_ev_per_atom=0.04 magmom_total_mub_per_atom=0.00 pbc="T T T"
Ca 0.000 0.000 0.000
Ca 0.000 4.147 1.202
Cd 2.074 -1.268 1.804
Cd 2.880 2.074 0.601
Cd 2.074 5.415 -0.601
Cd 1.268 2.074 3.006
N 4.147 0.000 1.202
N 0.000 0.000 2.405



(13)
20
Lattice="7.594 0.000 0.000 0.000 8.149 0.000 0.000 0.000 5.928" Properties=species:S:1:pos:R:3 comment="Ca5CdN4 | Alexandria via LeMat-Bulk | PBE-GGA | optimized geometry" energy_ev_per_atom=-4.959 spacegroup="Pmmn, No. 59" raw_formation_energy_ev_per_atom=-0.54 magmom_total_mub_per_atom=0.00 pbc="T T T"
Ca 0.024 0.416 1.463
Ca 0.024 3.659 1.463
Ca 1.899 2.037 4.220
Ca 3.773 0.416 1.463
Ca 3.773 3.659 1.463
Ca 3.821 4.490 4.466
Ca 3.821 7.733 4.466
Ca 5.696 6.112 1.708
Ca 7.570 4.490 4.466
Ca 7.570 7.733 4.466
Cd 1.899 6.112 1.692
Cd 5.696 2.037 4.236
N 0.007 2.037 5.603
N 1.899 0.029 2.960
N 1.899 4.046 2.960
N 3.790 2.037 5.603
N 3.804 6.112 0.325
N 5.696 4.103 2.968
N 5.696 8.120 2.968
N 7.587 6.112 0.325



(14)
10
Lattice="4.244 -8.948 0.000 4.244 8.948 0.000 0.000 0.000 3.881" Properties=species:S:1:pos:R:3 comment="Ca7CdN2 | Alexandria via LeMat-Bulk | PBE-GGA | optimized geometry" energy_ev_per_atom=-3.551 spacegroup="Cmmm, No. 65" raw_formation_energy_ev_per_atom=-0.39 magmom_total_mub_per_atom=0.00 pbc="T T T"
Ca 0.000 0.000 0.000
Ca 2.371 2.229 0.000
Ca 4.244 5.292 1.940
Ca 2.371 -2.229 0.000
Ca 6.118 2.229 0.000
Ca 4.244 -5.292 1.940
Ca 6.118 -2.229 0.000
Cd 4.244 0.000 1.940
N 4.244 6.608 0.000
N 4.244 -6.608 0.000



(15)
5
Lattice="4.952 0.000 0.000 0.000 4.952 0.000 0.000 0.000 4.952" Properties=species:S:1:pos:R:3 comment="Ca3CdN | Alexandria via LeMat-Bulk | PBE-GGA | optimized geometry" e_above_lowest_polymorph_kj_per_mol_atoms=0.00 energy_ev_per_atom=-3.631 spacegroup="Pm-3m, No. 221" raw_formation_energy_ev_per_atom=-0.58 magmom_total_mub_per_atom=0.00 pbc="T T T"
Ca 0.000 0.000 2.476
Ca 0.000 2.476 0.000
Ca 2.476 0.000 0.000
Cd 2.476 2.476 2.476
N 0.000 0.000 0.000



(16)
80
Lattice="-8.032 8.032 8.032 8.032 -8.032 8.032 8.032 8.032 -8.032" Properties=species:S:1:pos:R:3 comment="Ca12Cd3N5 | Alexandria via LeMat-Bulk | PBE-GGA | optimized geometry" energy_ev_per_atom=-3.892 spacegroup="Ia-3d, No. 230" raw_formation_energy_ev_per_atom=-0.47 magmom_total_mub_per_atom=0.00 pbc="T T T"
Ca 2.352 -0.617 0.711
Ca 9.697 4.727 -4.633
Ca 10.384 0.617 0.711
Ca 9.697 -3.305 4.633
Ca 7.415 -0.711 2.352
Ca 12.665 -1.664 3.305
Ca 0.711 2.352 -0.617
Ca 11.338 3.399 -1.664
Ca 4.727 4.633 -1.664
Ca 7.322 2.352 0.617
Ca -0.617 0.711 2.352
Ca 4.633 -1.664 4.727
Ca 7.415 7.322 -2.352
Ca 4.633 1.664 3.305
Ca 4.727 -4.633 9.697
Ca 7.322 -2.352 7.415
Ca 3.305 4.633 1.664
Ca 8.743 5.680 0.617
Ca 4.633 9.697 -3.305
Ca 7.415 0.711 5.680
Ca 2.352 7.415 -0.711
Ca 9.697 3.305 3.399
Ca 1.664 3.305 4.633
Ca 2.352 0.617 7.322
Ca 5.680 7.415 0.711
Ca 6.368 4.727 3.399
Ca -1.664 4.727 4.633
Ca 5.680 0.617 8.743
Ca 0.617 7.322 2.352
Ca 3.399 -1.664 11.338
Ca -0.711 2.352 7.415
Ca 4.727 3.399 6.368
Ca 0.711 10.384 0.617
Ca 3.305 12.665 -1.664
Ca 3.399 6.368 4.727
Ca 0.617 0.711 10.384
Ca 3.399 9.697 3.305
Ca 8.649 7.322 5.680
Ca 0.711 5.680 7.415
Ca 3.305 3.399 9.697
Ca -3.305 4.633 9.697
Ca 7.322 5.680 8.649
Ca -4.633 9.697 4.727
Ca 0.617 8.743 5.680
Ca -1.664 11.338 3.399
Ca -2.352 7.415 7.322
Ca -1.664 3.305 12.665
Ca 5.680 8.649 7.322
Cd 4.016 2.008 0.000
Cd 8.032 4.016 -2.008
Cd 2.008 0.000 4.016
Cd 10.040 0.000 4.016
Cd 0.000 4.016 2.008
Cd 4.016 -2.008 8.032
Cd 4.016 10.040 0.000
Cd 8.032 4.016 6.024
Cd -2.008 8.032 4.016
Cd 6.024 8.032 4.016
Cd 0.000 4.016 10.040
Cd 4.016 6.024 8.032
N 0.000 0.000 0.000
N 4.016 4.016 -4.016
N 4.016 -4.016 4.016
N 8.032 0.000 0.000
N 12.048 2.008 0.000
N 8.032 -4.016 6.024
N 6.024 8.032 -4.016
N 6.024 0.000 4.016
N 4.016 6.024 0.000
N 8.032 4.016 2.008
N -4.016 4.016 4.016
N 0.000 8.032 0.000
N 0.000 0.000 8.032
N 4.016 4.016 4.016
N 0.000 4.016 6.024
N 4.016 2.008 8.032
N 2.008 8.032 4.016
N 2.008 0.000 12.048
N 0.000 12.048 2.008
N -4.016 6.024 8.032



(17)
4
Lattice="1.781 1.029 8.509 -1.781 1.029 8.509 0.000 -2.057 8.509" Properties=species:S:1:pos:R:3 comment="Ca2CdN | Alexandria via LeMat-Bulk | PBE-GGA | optimized geometry" e_above_lowest_polymorph_kj_per_mol_atoms=0.16 energy_ev_per_atom=-3.936 spacegroup="R3m, No. 160" raw_formation_energy_ev_per_atom=-0.62 magmom_total_mub_per_atom=0.00 pbc="T T T"
Ca 0.000 0.000 0.000
Ca 0.000 0.000 5.982
Cd 0.000 0.000 20.018
N 0.000 0.000 15.763



(18)
4
Lattice="3.482 0.000 0.000 -1.741 3.015 0.000 0.000 0.000 8.680" Properties=species:S:1:pos:R:3 comment="Ca2CdN | Alexandria via LeMat-Bulk | PBE-GGA | optimized geometry" e_above_lowest_polymorph_kj_per_mol_atoms=15.49 energy_ev_per_atom=-3.777 spacegroup="P-6m2, No. 187" raw_formation_energy_ev_per_atom=-0.47 magmom_total_mub_per_atom=0.00 pbc="T T T"
Ca 0.000 0.000 1.357
Ca 0.000 0.000 7.323
Cd 0.000 2.010 4.340
N 1.741 1.005 0.000



(19)
7
Lattice="-2.436 2.436 8.153 2.436 -2.436 8.153 2.436 2.436 -8.153" Properties=species:S:1:pos:R:3 comment="Ca4Cd2N | Alexandria via LeMat-Bulk | PBE-GGA | optimized geometry" e_above_lowest_polymorph_kj_per_mol_atoms=0.00 energy_ev_per_atom=-3.013 spacegroup="I4/mmm, No. 139" raw_formation_energy_ev_per_atom=-0.42 magmom_total_mub_per_atom=0.00 pbc="T T T"
Ca 2.436 0.000 0.000
Ca 0.000 0.000 2.509
Ca 0.000 2.436 0.000
Ca 0.000 0.000 13.796
Cd 0.000 0.000 5.769
Cd 0.000 0.000 10.536
N 0.000 0.000 0.000



(20)
4
Lattice="0.000 3.526 3.526 3.526 0.000 3.526 3.526 3.526 0.000" Properties=species:S:1:pos:R:3 comment="Ca2CdN | Alexandria via LeMat-Bulk | PBE-GGA | optimized geometry" e_above_lowest_polymorph_kj_per_mol_atoms=83.92 energy_ev_per_atom=-3.068 spacegroup="Fm-3m, No. 225" raw_formation_energy_ev_per_atom=0.24 magmom_total_mub_per_atom=0.00 pbc="T T T"
Ca 1.763 1.763 1.763
Ca 5.289 5.289 5.289
Cd 0.000 0.000 0.000
N 3.526 3.526 3.526